a:
Compound: SrTaSb2
Source: Alexandria
Functional: GGA-PBEsol
Structure: optimized geometry

Lattice parameters (Å, degrees): 3.7341 5.0799 5.0872 90.00 90.00 90.00
Element x y z (fractional)
Sb  0.0000  0.5000  0.5000
Sb  0.0000  0.0000  0.0000
Sr  0.5000  0.5000  0.0000
Ta  0.5000  0.0000  0.5000

Properties
**Size of the total moment**: 0.0 μB/f.u.
**Crystal system**: tetragonal
**Symmetry**: P4/mmm (123)

b:
Compound: SrTaSb2
Source: Alexandria
Functional: GGA-PBEsol
Structure: optimized geometry

Lattice parameters (Å, degrees): 3.7272 5.1167 5.1167 99.82 90.00 90.00
Element x y z (fractional)
Sb  0.0000  0.0000  0.5000
Sb  0.0000  0.5000  0.0000
Sr  0.5000  0.0000  0.0000
Ta  0.5000  0.5000  0.5000

Properties
**Size of the total moment**: 0.0 μB/f.u.
**Crystal system**: orthorhombic
**Symmetry**: Cmmm (65)

Most stable: b. Least stable: a.

a:
Compound: SrTlSb2
Source: Alexandria
Functional: GGA-PBEsol
Structure: optimized geometry

Lattice parameters (Å, degrees): 4.7997 4.7997 6.0090 113.54 113.54 90.00
Element x y z (fractional)
Sb  0.2500  0.7500  0.5000
Sb  0.7500  0.2500  0.5000
Tl  0.5000  0.5000  0.0000
Sr  0.0000  0.0000  0.0000

Properties
**Size of the total moment**: 0.0 μB/f.u.
**Crystal system**: tetragonal
**Symmetry**: I4/mmm (139)

b:
Compound: SrTlSb2
Source: Alexandria
Functional: GGA-PBEsol
Structure: optimized geometry

Lattice parameters (Å, degrees): 4.0250 5.3451 6.4216 114.59 108.26 90.00
Element x y z (fractional)
Sb  0.7211  0.2211  0.4421
Sb  0.0152  0.0152  0.0305
Tl  0.2664  0.7664  0.5328
Sr  0.4973  0.4973  0.9946

Properties
**Size of the total moment**: 0.0 μB/f.u.
**Crystal system**: orthorhombic
**Symmetry**: Imm2 (44)

c:
Compound: SrTlSb2
Source: Alexandria
Functional: GGA-PBEsol
Structure: optimized geometry

Lattice parameters (Å, degrees): 4.8248 4.8248 4.8925 90.00 90.00 90.00
Element x y z (fractional)
Tl  0.0000  0.0000  0.5000
Sb  0.5000  0.0000  0.0000
Sb  0.0000  0.5000  0.0000
Sr  0.5000  0.5000  0.5000

Properties
**Size of the total moment**: 0.0 μB/f.u.
**Crystal system**: tetragonal
**Symmetry**: P4/mmm (123)

Most stable: c. Least stable: b.

a:
Compound: SrZrSb2
Source: Alexandria
Functional: GGA-PBEsol
Structure: optimized geometry

Lattice parameters (Å, degrees): 3.4200 5.4400 6.0100 90.00 104.65 90.00
Element x y z (fractional)
Sb  0.9904  0.0000  0.8806
Sb  0.8549  0.5000  0.3361
Sr  0.3818  0.0000  0.4094
Zr  0.2730  0.5000  0.8739

Properties
**Size of the total moment**: 0.0 μB/f.u.
**Crystal system**: monoclinic
**Symmetry**: Pm (6)

b:
Compound: SrZrSb2
Source: Alexandria
Functional: GGA-PBEsol
Structure: optimized geometry

Lattice parameters (Å, degrees): 4.2191 4.2191 7.9261 74.56 74.56 60.00
Element x y z (fractional)
Sb  0.2614  0.2614  0.2157
Sb  0.7386  0.7386  0.7843
Zr  0.0000  0.0000  0.0000
Sr  0.5000  0.5000  0.5000

Properties
**Size of the total moment**: 0.0 μB/f.u.
**Crystal system**: trigonal
**Symmetry**: R-3m (166)

Most stable: b. Least stable: a.

a:
Compound: Ta3Sb
Source: Alexandria
Functional: GGA-PBEsol
Structure: optimized geometry

Lattice parameters (Å, degrees): 2.9984 2.9984 8.8044 90.00 90.00 109.37
Element x y z (fractional)
Ta  0.0000  0.0000  0.5000
Ta  0.5000  0.5000  0.7470
Ta  0.5000  0.5000  0.2530
Sb  0.0000  0.0000  0.0000

Properties
**Size of the total moment**: 0.0 μB/f.u.
**Crystal system**: orthorhombic
**Symmetry**: Cmmm (65)

b:
Compound: Ta3Sb
Source: Alexandria
Functional: GGA-PBEsol
Structure: optimized geometry

Lattice parameters (Å, degrees): 5.2376 5.2376 5.2376 90.00 90.00 90.00
Element x y z (fractional)
Ta  0.2500  0.0000  0.5000
Ta  0.0000  0.5000  0.2500
Ta  0.5000  0.7500  0.0000
Ta  0.7500  0.0000  0.5000
Ta  0.0000  0.5000  0.7500
Ta  0.5000  0.2500  0.0000
Sb  0.0000  0.0000  0.0000
Sb  0.5000  0.5000  0.5000

Properties
**Size of the total moment**: 0.0 μB/f.u.
**Crystal system**: cubic
**Symmetry**: Pm-3n (223)

Most stable: b. Least stable: a.

a:
Compound: TaSb3
Source: Alexandria
Functional: GGA-PBEsol
Structure: optimized geometry

Lattice parameters (Å, degrees): 3.0978 3.0978 10.2215 90.00 90.00 104.04
Element x y z (fractional)
Sb  0.5000  0.5000  0.0000
Sb  0.0000  0.0000  0.2920
Sb  0.0000  0.0000  0.7080
Ta  0.5000  0.5000  0.5000

Properties
**Size of the total moment**: 0.0 μB/f.u.
**Crystal system**: orthorhombic
**Symmetry**: Cmmm (65)

b:
Compound: TaSb3
Source: Alexandria
Functional: GGA-PBEsol
Structure: optimized geometry

Lattice parameters (Å, degrees): 3.1577 5.8548 5.8548 116.84 100.36 100.36
Element x y z (fractional)
Sb  0.0000  0.0000  0.5000
Sb  0.0000  0.5000  0.0000
Sb  0.5000  0.5000  0.5000
Ta  0.5000  0.0000  0.0000

Properties
**Size of the total moment**: 0.0 μB/f.u.
**Crystal system**: trigonal
**Symmetry**: R-3m (166)

Most stable: a. Least stable: b.

a:
Compound: TcSb2
Source: Alexandria
Functional: GGA-PBEsol
Structure: optimized geometry

Lattice parameters (Å, degrees): 3.2191 3.2191 12.5550 97.37 97.37 90.00
Element x y z (fractional)
Sb  0.9349  0.9349  0.8697
Sb  0.1849  0.6849  0.3697
Sb  0.0651  0.0651  0.1303
Sb  0.3151  0.8151  0.6303
Tc  0.5000  0.5000  0.0000
Tc  0.7500  0.2500  0.5000

Properties
**Size of the total moment**: 0.0 μB/f.u.
**Crystal system**: tetragonal
**Symmetry**: I4_1/amd (141)

b:
Compound: TcSb2
Source: Alexandria
Functional: GGA-PBEsol
Structure: optimized geometry

Lattice parameters (Å, degrees): 3.2719 6.4610 7.1121 116.85 103.30 90.00
Element x y z (fractional)
Sb  0.0828  0.3927  0.1656
Sb  0.3576  0.0432  0.7151
Sb  0.9172  0.6073  0.8344
Sb  0.6424  0.9568  0.2849
Tc  0.7409  0.6728  0.4818
Tc  0.2591  0.3272  0.5182

Properties
**Size of the total moment**: 0.0 μB/f.u.
**Crystal system**: monoclinic
**Symmetry**: C2/m (12)

c:
Compound: TcSb2
Source: Alexandria
Functional: GGA-PBEsol
Structure: optimized geometry

Lattice parameters (Å, degrees): 5.3619 5.3619 5.3619 108.12 108.12 112.21
Element x y z (fractional)
Tc  0.2500  0.2500  0.0000
Tc  0.7500  0.7500  0.0000
Sb  0.3376  0.1624  0.5000
Sb  0.1624  0.6624  0.8248
Sb  0.8376  0.3376  0.1752
Sb  0.6624  0.8376  0.5000

Properties
**Size of the total moment**: 0.0 μB/f.u.
**Crystal system**: tetragonal
**Symmetry**: I4/mcm (140)

Most stable: b. Least stable: a.